A crystal of Al2ReOs relaxed with PBEsol, computed with SCAN.

final energy = -39.82 eV/atom

a b c (Å): 2.964 4.630 8.261
angles (deg): 90.00 90.00 90.00
Space group Cmmm (No. 65)
One atom of each set of equivalent atoms:
Al1 0.000 0.000 0.245 [4 per cell]
Re1 0.000 0.500 0.500 [2 per cell]
Os1 0.000 0.500 0.000 [2 per cell]

A crystal of MnMo2Os relaxed with PBEsol, computed with SCAN.

distance to the lowest polymorph of the same formula = 163 meV per atom
final energy = -39.78 eV/atom

a b c (Å): 3.070 4.349 8.372
angles (deg): 90.00 90.00 90.00
Space group Cmmm (No. 65)
One atom of each set of equivalent atoms:
Mn1 0.000 0.000 0.000 [2 per cell]
Mo1 0.000 0.500 0.237 [4 per cell]
Os1 0.000 0.000 0.500 [2 per cell]

A crystal of NaSbO2 relaxed with PBEsol, computed with SCAN.

formation energy from raw total energies = -1.6170 eV/atom
final energy = -15.10 eV/atom

a b c (Å): 7.454 7.404 5.574
angles (deg): 90.00 128.39 90.00
Space group C2/c (No. 15)
One atom of each set of equivalent atoms:
Na1 0.000 0.123 0.250 [4 per cell]
Sb1 0.000 0.386 0.750 [4 per cell]
O1 0.201 0.440 0.244 [8 per cell]

A crystal of RbTb2Cl7 relaxed with PBEsol, computed with SCAN.

formation energy from raw total energies = -2.5134 eV/atom
final energy = -19.52 eV/atom

a b c (Å): 13.080 6.886 12.510
angles (deg): 90.00 90.00 90.00
Space group Pnma (No. 62)
One atom of each set of equivalent atoms:
Rb1 0.040 0.250 0.196 [4 per cell]
Tb1 0.237 0.250 0.539 [4 per cell]
Tb2 0.247 0.250 0.843 [4 per cell]
Cl1 0.108 0.750 0.188 [4 per cell]
Cl2 0.121 0.010 0.421 [8 per cell]
Cl3 0.129 0.010 0.961 [8 per cell]
Cl4 0.174 0.005 0.693 [8 per cell]

Which value of final energy does entry 4 give?
-19.52 eV/atom

Which of these has the highest final energy?
NaSbO2

Which formula does entry 3 have?
NaSbO2